Record 1
Entry from the Alexandria database: a relaxed GeRhAu3 crystal (PBE).

Cell and atoms, written as POSCAR:
```
GeRhAu3
1.0
-0.5983 -4.5811 -1.9054
3.6320 0.9031 -3.3118
3.3802 -1.7813 3.2213
Rh Ge Au
1 1 3
Direct
0.0000 0.0000 0.0000 Rh
0.5000 0.5000 0.5000 Ge
0.0000 0.5000 0.0000 Au
0.0000 0.0000 0.5000 Au
0.5000 0.0000 0.0000 Au
```

Output
Offset from the most stable computed form in eV per atom: 0.181
Uncorrected energy in eV/atom: -3.401
E_form in eV per atom: 0.9588
Mass density in g cm⁻³: 10.2


Record 2
Entry from the Alexandria database: a relaxed GeRhAu3 crystal (PBE).

Cell and atoms, written as POSCAR:
```
GeRhAu3
1.0
4.7734 0.0000 0.0000
0.0000 4.7734 0.0000
0.0000 0.0000 4.7734
Rh Ge Au
1 1 3
Direct
0.5000 0.5000 0.5000 Rh
0.0000 0.0000 0.0000 Ge
0.0000 0.5000 0.0000 Au
0.0000 0.0000 0.5000 Au
0.5000 0.0000 0.0000 Au
```

Output
Offset from the most stable computed form in eV per atom: 0.000
Uncorrected energy in eV/atom: -3.583
E_form in eV per atom: 0.7776
Mass density in g cm⁻³: 11.7


Record 3
Entry from the Alexandria database: a relaxed ScGe2RhAu crystal (PBE).

Cell and atoms, written as POSCAR:
```
ScGe2RhAu
1.0
4.9761 0.0000 0.0000
0.0000 4.9463 0.0000
0.0000 0.0000 4.9761
Sc Rh Ge Au
1 1 2 1
Direct
0.0000 0.0000 0.0000 Sc
0.5000 0.5000 0.5000 Rh
0.0000 0.0000 0.5000 Ge
0.5000 0.0000 0.0000 Ge
0.0000 0.5000 0.0000 Au
```

Output
Uncorrected energy in eV/atom: -4.257
E_form in eV per atom: 0.9819
Mass density in g cm⁻³: 6.6


Record 4
Entry from the Alexandria database: a relaxed Sm2Ge2Rh5Au crystal (PBE).

Cell and atoms, written as POSCAR:
```
Sm2Ge2Rh5Au
1.0
-2.9306 1.6307 1.4429
0.7447 -5.7065 7.9616
5.8113 6.6850 4.2480
Sm Ge Rh Au
4 4 10 2
Direct
0.0000 0.6755 0.1755 Sm
0.0000 0.3245 0.8245 Sm
0.0000 0.1755 0.3245 Sm
0.0000 0.8245 0.6755 Sm
0.0000 0.1234 0.6234 Ge
0.0000 0.8766 0.3766 Ge
0.0000 0.6234 0.8766 Ge
0.0000 0.3766 0.1234 Ge
0.5000 0.2110 0.0669 Rh
0.5000 0.7890 0.9331 Rh
0.5000 0.0669 0.7890 Rh
0.5000 0.7110 0.4331 Rh
0.5000 0.9331 0.2110 Rh
0.5000 0.2890 0.5669 Rh
0.5000 0.5669 0.7110 Rh
0.5000 0.4331 0.2890 Rh
0.5000 0.5000 0.0000 Rh
0.5000 0.0000 0.5000 Rh
0.0000 0.0000 0.0000 Au
0.0000 0.5000 0.5000 Au
```

Output
Uncorrected energy in eV/atom: -6.552
E_form in eV per atom: -0.6816
Mass density in g cm⁻³: 10.9